1.
First-principles (PBE) data for an optimized crystal structure of MnZnPdI2, as listed in Alexandria.

a = 5.560 Å, b = 4.841 Å, c = 5.560 Å
α = 90.00°, β = 90.00°, γ = 90.00°
Positions (direct):
I 0.000 0.000 0.500
I 0.500 0.000 0.000
Zn 0.000 0.000 0.000
Mn 0.500 0.500 0.500
Pd 0.000 0.500 0.000

## Properties
Its total energy is -0.2305 Ry/atom. The formation energy (no corrections) is 0.61 eV per atom. The magnetization comes out at 5.57 μB per formula unit. As for the calculated density: 5.33 g/cm³.



2.
First-principles (PBE) data for an optimized crystal structure of PaGe2Pd, as listed in Alexandria.

a = 4.240 Å, b = 4.240 Å, c = 5.598 Å
α = 67.74°, β = 67.74°, γ = 60.00°
Positions (direct):
Ge 0.728 0.728 0.816
Ge 0.272 0.272 0.184
Pa 0.500 0.500 0.500
Pd 0.000 0.000 0.000

## Properties
Its total energy is -0.4745 Ry/atom. The magnetization comes out at 0.60 μB per formula unit. As for the calculated density: 10.23 g/cm³. Its formation energy is -475 meV/atom.



3.
First-principles (PBE) data for an optimized crystal structure of NaBi2OsO8, as listed in Alexandria.

a = 5.121 Å, b = 5.010 Å, c = 6.892 Å
α = 90.00°, β = 90.00°, γ = 89.34°
Positions (direct):
Na 0.000 0.000 0.500
Bi 0.500 0.500 0.744
Bi 0.500 0.500 0.256
Os 0.000 0.000 0.000
O 0.160 0.798 0.197
O 0.714 0.761 0.000
O 0.840 0.202 0.197
O 0.840 0.202 0.803
O 0.286 0.239 0.000
O 0.160 0.798 0.803
O 0.674 0.701 0.500
O 0.326 0.299 0.500

## Properties
Its total energy is -0.4432 Ry/atom. The formation energy (no corrections) is -1.03 eV per atom. The magnetization comes out at 0.00 μB per formula unit. As for the calculated density: 7.13 g/cm³.



Question: magnetization of number 1 (MnZnPdI2)?
Answer: 5.57 μB per formula unit